A plane-wave DFT calculation with PBE was carried out for a relaxed CeDyGe2 crystal.

Output
For the energy, the calculation gives -5.574 eV per atom. Its formation energy is -2.524 eV/f.u. Its density of states at the Fermi level is 6.28 states/eV/cell.

a = 3.3541 Å, b = 3.3541 Å, c = 8.1064 Å
α = 90.00°, β = 90.00°, γ = 90.00°
With the nearest neighbours (Å) after each atom.
Space group P4/mmm (No. 123)
Unique sites:
Ce (0.0000, 0.0000, 0.0000) (multiplicity 1)  8 Ge 3.15, 4 Ce 3.35
Dy (0.0000, 0.0000, 0.5000) (multiplicity 1)  8 Ge 3.09, 4 Dy 3.35
Ge (0.5000, 0.5000, 0.2553) (multiplicity 2)  4 Dy 3.09, 4 Ce 3.15, 4 Ge 3.35